{"formula": "KCdIn2Te4", "functional": "PBE", "state": "relaxed", "cell": [[-2.3325, 3.9774, -5.4269], [-7.6616, -1.8478, -2.7336], [-7.2114, 3.9735, 1.3394]], "species": ["In", "Te", "In", "Cd", "Te", "K", "Te", "Te"], "frac_coords": [[0.2500, 0.2500, 0.2500], [0.8584, 0.5839, 0.1414], [0.7500, 0.7500, 0.7500], [0.5000, 0.5000, 0.5000], [0.4163, 0.1414, 0.5839], [0.0000, 0.0000, 0.0000], [0.1416, 0.8586, 0.4161], [0.5837, 0.4161, 0.8586]], "magmom_total_mub_per_fu": 0.00, "formation_energy_uncorrected_ev_per_atom": -0.43}